No. 1
First-principles (PBE) data for crystalline ReNi2Cl at its relaxed geometry, as listed in Alexandria.

Computed properties:
Its uncorrected formation energy is 849 meV per atom. Its space-group type is No. 47. Its mass density is 10.5 g/cm³. The density of states at the Fermi level comes out at 5.39 states/eV per cell. The calculation puts the excess energy over the best structure of this formula in the dataset at 669 meV per atom.

Cell: 2.7220 4.4161 4.4482 Å, 90.00 90.00 90.00°
Last column: magnetic moment on the atom in μB.
Fractional positions:
Cl (0.0000, 0.5000, 0.5000)  0.07
Ni (0.0000, 0.0000, 0.0000)  0.39
Ni (0.5000, 0.5000, 0.0000)  0.72
Re (0.5000, 0.0000, 0.5000)  0.63

No. 2
First-principles (PBE) data for crystalline ReNiCl at its relaxed geometry, as listed in Alexandria.

Computed properties:
Its uncorrected formation energy is 415 meV per atom. Its space-group type is No. 156. Its mass density is 11.0 g/cm³. The density of states at the Fermi level comes out at 1.41 states/eV per cell. The calculation puts the excess energy over the best structure of this formula in the dataset at 0 meV per atom.

Cell: 2.8792 2.8792 5.9161 Å, 90.00 90.00 120.00°
Fractional positions:
Cl (0.0000, 0.0000, 0.0073)
Ni (0.3333, 0.6667, 0.3381)
Re (0.6667, 0.3333, 0.6546)

No. 3
First-principles (PBE) data for crystalline Re2NiCl at its relaxed geometry, as listed in Alexandria.

Computed properties:
Its uncorrected formation energy is 323 meV per atom. Its space-group type is No. 160. Its mass density is 13.5 g/cm³. The density of states at the Fermi level comes out at 4.24 states/eV per cell. The calculation puts the excess energy over the best structure of this formula in the dataset at 22 meV per atom.

Cell: 8.3275 8.3275 8.3275 Å, 19.69 19.69 19.69°
Fractional positions:
Cl (0.4957, 0.4957, 0.4957)
Ni (0.7525, 0.7525, 0.7525)
Re (0.0021, 0.0021, 0.0021)
Re (0.2498, 0.2498, 0.2498)

No. 4
First-principles (PBE) data for crystalline ReNiCl at its relaxed geometry, as listed in Alexandria.

Computed properties:
Its uncorrected formation energy is 588 meV per atom. Its space-group type is No. 42. Its mass density is 10.6 g/cm³. The density of states at the Fermi level comes out at 1.89 states/eV per cell. The calculation puts the excess energy over the best structure of this formula in the dataset at 173 meV per atom.

Cell: 6.6991 6.3757 2.8700 Å, 83.71 71.08 25.20°
Fractional positions:
Cl (0.9941, 0.9941, 0.0059)
Ni (0.3328, 0.3328, 0.6672)
Re (0.6731, 0.6731, 0.3269)

No. 5
First-principles (PBE) data for crystalline ReNiCl3 at its relaxed geometry, as listed in Alexandria.

Computed properties:
Its uncorrected formation energy is 761 meV per atom. Its space-group type is No. 221. Its mass density is 5.3 g/cm³. The density of states at the Fermi level comes out at 17.46 states/eV per cell. The calculation puts the excess energy over the best structure of this formula in the dataset at 6 meV per atom.

Cell: 4.8072 4.8072 4.8072 Å, 90.00 90.00 90.00°
Last column: magnetic moment on the atom in μB.
Fractional positions:
Re (0.0000, 0.0000, 0.0000)  1.80
Cl (0.0000, 0.5000, 0.0000)  0.04
Cl (0.0000, 0.0000, 0.5000)  0.03
Cl (0.5000, 0.0000, 0.0000)  0.10
Ni (0.5000, 0.5000, 0.5000)  0.89

No. 6
First-principles (PBE) data for crystalline ReNi2Cl at its relaxed geometry, as listed in Alexandria.

Computed properties:
Its uncorrected formation energy is 270 meV per atom. Its space-group type is No. 123. Its mass density is 10.3 g/cm³. The density of states at the Fermi level comes out at 3.63 states/eV per cell. The calculation puts the excess energy over the best structure of this formula in the dataset at 90 meV per atom.

Cell: 2.7637 2.7637 7.1252 Å, 90.00 90.00 89.93°
Fractional positions:
Cl (0.5000, 0.5000, 0.7500)
Ni (0.0000, 0.0000, 0.0082)
Ni (0.0000, 0.0000, 0.4918)
Re (0.5000, 0.5000, 0.2500)

Question: uncorrected formation energy of number 4 (ReNiCl)?
Answer: 588 meV per atom

Question: Among the records above, which one has the lowest mass density?
Answer: ReNiCl3

Question: Which formula does entry 4 have?
Answer: ReNiCl